Computed, not measured: crystalline Er6Al2Ru at its relaxed geometry at the PBE level of DFT.

a = 8.4370 Å, b = 8.4370 Å, c = 8.4370 Å
α = 145.65°, β = 130.93°, γ = 61.26°
With the nearest neighbours (Å) after each atom.
Fractional coordinates of all 9 atoms:
1 Er 0.0873 0.3433 0.7440  1 Ru 2.85, 3 Al 3.07
2 Er 0.2341 0.0000 0.2341  2 Ru 2.98, 2 Al 3.07, 1 Er 3.28
3 Er 0.4008 0.6567 0.7440  1 Ru 2.85, 3 Al 3.07
4 Er 0.5992 0.3433 0.2560  1 Ru 2.85, 3 Al 3.07
5 Er 0.7659 0.0000 0.7659  2 Ru 2.98, 2 Al 3.07, 1 Er 3.28
6 Er 0.9127 0.6567 0.2560  1 Ru 2.85, 3 Al 3.07
7 Al 0.3320 0.8320 0.5000  8 Er 3.07
8 Al 0.6680 0.1680 0.5000  8 Er 3.07
9 Ru 0.0000 0.5000 0.5000  8 Er 2.85-2.98

Results
Space-group type: Immm
Total magnetic moment (Bohr magnetons per cell): 0.0
Energy of formation (eV/atom): -0.124
Density (g cm⁻³): 7.59
DOS at the Fermi energy (states/eV/atom): 0.894
V (Å³/cell): 253.46